# LiTbPrY | Alexandria via LeMat-Bulk | PBE | optimized geometry
data_LiTbPrY
_symmetry_space_group_name_H-M 'F -4 3 m'
_symmetry_Int_Tables_number 216
_symmetry_space_group_name_Hall 'F -4 2 3'
_cell_length_a 7.883
_cell_length_b 7.883
_cell_length_c 7.883
_cell_angle_alpha 90.00
_cell_angle_beta 90.00
_cell_angle_gamma 90.00
loop_
_atom_site_label
_atom_site_fract_x
_atom_site_fract_y
_atom_site_fract_z
Li1 0.000 0.000 0.000
Tb1 0.000 0.000 0.500
Pr1 0.250 0.250 0.750
Y1 0.250 0.250 0.250
# ρ: 5365 kg/m3
# raw total energy: -4.27 eV/atom
# formation enthalpy at 0 K: 0.17 eV per atom

# KRbNaAu | Alexandria via LeMat-Bulk | PBE | optimized geometry
data_KRbNaAu
_symmetry_space_group_name_H-M 'F -4 3 m'
_symmetry_Int_Tables_number 216
_symmetry_space_group_name_Hall 'F -4 2 3'
_cell_length_a 8.580
_cell_length_b 8.580
_cell_length_c 8.580
_cell_angle_alpha 90.00
_cell_angle_beta 90.00
_cell_angle_gamma 90.00
loop_
_atom_site_label
_atom_site_fract_x
_atom_site_fract_y
_atom_site_fract_z
K1 0.000 0.000 0.000
Rb1 0.000 0.000 0.500
Na1 0.250 0.250 0.750
Au1 0.250 0.250 0.250
# ρ: 3623 kg/m3
# raw total energy: -1.74 eV/atom
# relative energy among the computed polymorphs: 0.31 eV per formula unit
# formation enthalpy at 0 K: -0.08 eV per atom

# Pm4CoI2Cl | Alexandria via LeMat-Bulk | PBE | optimized geometry
data_Pm4CoI2Cl
_symmetry_space_group_name_H-M 'P 1 2/m 1'
_symmetry_Int_Tables_number 10
_cell_length_a 7.448
_cell_length_b 4.064
_cell_length_c 8.198
_cell_angle_alpha 90.00
_cell_angle_beta 107.26
_cell_angle_gamma 90.00
loop_
_symmetry_equiv_pos_as_xyz
'x,y,z'
'-x,-y,-z'
'-x,y,-z'
'x,-y,z'
loop_
_atom_site_label
_atom_site_fract_x
_atom_site_fract_y
_atom_site_fract_z
Pm1 0.197 0.000 0.188
Pm2 0.245 0.500 0.813
Co1 0.000 0.500 0.000
I1 0.000 0.000 0.500
I2 0.500 0.500 0.500
Cl1 0.500 0.000 0.000
# ρ: 6505 kg/m3
# raw total energy: -4.74 eV/atom
# energy relative to the elements, uncorrected: -0.861 eV/atom

# Ho3CuAg | Alexandria via LeMat-Bulk | PBE | optimized geometry
data_Ho3CuAg
_symmetry_space_group_name_H-M 'C m c m'
_symmetry_Int_Tables_number 63
_symmetry_space_group_name_Hall '-C 2c 2'
_cell_length_a 4.994
_cell_length_b 19.364
_cell_length_c 4.997
_cell_angle_alpha 90.00
_cell_angle_beta 90.00
_cell_angle_gamma 90.00
loop_
_atom_site_label
_atom_site_fract_x
_atom_site_fract_y
_atom_site_fract_z
Ho1 0.000 0.066 0.250
Ho2 0.000 0.250 0.250
Ho3 0.000 0.434 0.250
Cu1 0.000 0.159 0.750
Ag1 0.000 0.341 0.750
# ρ: 9157 kg/m3
# raw total energy: -4.34 eV/atom
# relative energy among the computed polymorphs: 0.00 eV per formula unit
# formation enthalpy at 0 K: -0.20 eV per atom

# Al2Cd2Ge | Alexandria via LeMat-Bulk | PBE | optimized geometry
data_Al2Cd2Ge
_symmetry_space_group_name_H-M 'P 4/m b m'
_symmetry_Int_Tables_number 127
_symmetry_space_group_name_Hall '-P 4 2ab'
_cell_length_a 7.933
_cell_length_b 7.933
_cell_length_c 3.331
_cell_angle_alpha 90.00
_cell_angle_beta 90.00
_cell_angle_gamma 90.00
loop_
_atom_site_label
_atom_site_fract_x
_atom_site_fract_y
_atom_site_fract_z
Al1 0.121 0.379 0.000
Cd1 0.181 0.681 0.500
Ge1 0.000 0.000 0.000
# ρ: 5568 kg/m3
# raw total energy: -2.51 eV/atom
# relative energy among the computed polymorphs: 0.00 eV per formula unit
# formation enthalpy at 0 K: 0.28 eV per atom

# HfNi2HOs | Alexandria via LeMat-Bulk | PBE | optimized geometry
data_HfNi2HOs
_symmetry_space_group_name_H-M 'P 4/m m m'
_symmetry_Int_Tables_number 123
_symmetry_space_group_name_Hall '-P 4 2'
_cell_length_a 3.849
_cell_length_b 3.849
_cell_length_c 3.906
_cell_angle_alpha 90.00
_cell_angle_beta 90.00
_cell_angle_gamma 90.00
loop_
_atom_site_label
_atom_site_fract_x
_atom_site_fract_y
_atom_site_fract_z
Hf1 0.000 0.000 0.000
Ni1 0.000 0.500 0.500
H1 0.500 0.500 0.500
Os1 0.500 0.500 0.000
# ρ: 13976 kg/m3
# raw total energy: -7.51 eV/atom
# relative energy among the computed polymorphs: 0.00 eV per formula unit

no.,volume (Å³ per cell),M_tot (μB/atom)
1,489.9,0.000
2,631.6,0.000
3,236.9,0.000
4,483.3,0.004
5,209.6,0.000
6,57.9,0.000